Entry 1:
Density functional theory data (PBE) for an optimized crystal structure of KBiBr2Cl.

The structure belongs to space group P4/mmm (No. 123); the cell edges are 5.932, 5.932 and 5.631 Å and the angles 90.00°, 90.00° and 90.00°. The asymmetric unit holds K at (0.000, 0.000, 0.000), Bi at (0.500, 0.500, 0.500), Br at (0.000, 0.500, 0.500) and Cl at (0.500, 0.500, 0.000).

As for the final energy: -3.033 eV/atom. The calculation puts the formation energy from raw total energies at -998 meV/atom.

=====

Entry 2:
Density functional theory data (PBE) for an optimized crystal structure of KBiBrCl2.

The structure belongs to space group P4/mmm (No. 123); the cell edges are 5.635, 5.635 and 5.970 Å and the angles 90.00°, 90.00° and 90.00°. The asymmetric unit holds K at (0.000, 0.000, 0.000), Bi at (0.500, 0.500, 0.500), Br at (0.500, 0.500, 0.000) and Cl at (0.000, 0.500, 0.500).

As for the final energy: -3.129 eV/atom. The calculation puts the formation energy from raw total energies at -1060 meV/atom.

=====

Entry 3:
Density functional theory data (PBE) for an optimized crystal structure of Bi2BrClO2.

The structure belongs to space group P4mm (No. 99); the cell edges are 3.921, 3.921 and 8.724 Å and the angles 90.00°, 90.00° and 90.00°. The asymmetric unit holds Bi at (0.000, 0.000, 0.000), Bi at (0.500, 0.500, 0.292), Br at (0.500, 0.500, 0.815), Cl at (0.000, 0.000, 0.452) and O at (0.000, 0.500, 0.146).

As for the final energy: -4.730 eV/atom. The calculation puts the formation energy from raw total energies at -1197 meV/atom.

=====

Entry 4:
Density functional theory data (PBE) for an optimized crystal structure of BiP2BrCl.

The structure belongs to space group P4/mmm (No. 123); the cell edges are 5.008, 5.008 and 4.923 Å and the angles 90.00°, 90.00° and 90.00°. The asymmetric unit holds Bi at (0.000, 0.000, 0.000), P at (0.000, 0.500, 0.500), Br at (0.500, 0.500, 0.500) and Cl at (0.500, 0.500, 0.000).

As for the final energy: -2.723 eV/atom. The calculation puts the formation energy from raw total energies at 921 meV/atom. The value obtained for the energy above the most stable polymorph in this dataset is 149.8 meV per atom.

=====

Entry 5:
Density functional theory data (PBE) for an optimized crystal structure of BiP2BrCl.

The structure belongs to space group P4/mmm (No. 123); the cell edges are 5.557, 5.557 and 5.304 Å and the angles 90.00°, 90.00° and 90.00°. The asymmetric unit holds Bi at (0.000, 0.000, 0.000), P at (0.000, 0.500, 0.000), Br at (0.500, 0.500, 0.500) and Cl at (0.000, 0.000, 0.500).

As for the final energy: -2.872 eV/atom. The calculation puts the formation energy from raw total energies at 772 meV/atom. The value obtained for the energy above the most stable polymorph in this dataset is 0.0 meV per atom.

=====

Entry 6:
Density functional theory data (PBE) for an optimized crystal structure of BiPd2BrCl.

The structure belongs to space group P4/mmm (No. 123); the cell edges are 4.698, 4.698 and 6.138 Å and the angles 90.00°, 90.00° and 90.00°. The asymmetric unit holds Bi at (0.000, 0.000, 0.000), Pd at (0.000, 0.500, 0.500), Br at (0.500, 0.500, 0.500) and Cl at (0.500, 0.500, 0.000).

As for the final energy: -3.106 eV/atom. The calculation puts the formation energy from raw total energies at 451 meV/atom.

=====

Entry 7:
Density functional theory data (PBE) for an optimized crystal structure of Rb2BiBr6Cl.

The structure belongs to space group I4/mmm (No. 139); the cell edges are 7.955, 7.955 and 12.535 Å and the angles 90.00°, 90.00° and 90.00°. The asymmetric unit holds Rb at (0.000, 0.500, 0.250), Bi at (0.000, 0.000, 0.000), Br at (0.000, 0.000, 0.225), Br at (0.247, 0.247, 0.000) and Cl at (0.000, 0.000, 0.500).

As for the final energy: -2.676 eV/atom. The calculation puts the formation energy from raw total energies at -906 meV/atom.

=====

Entry 8:
Density functional theory data (PBE) for an optimized crystal structure of BiSBrCl2.

The structure belongs to space group P4/mmm (No. 123); the cell edges are 5.342, 5.342 and 5.658 Å and the angles 90.00°, 90.00° and 90.00°. The asymmetric unit holds Bi at (0.000, 0.000, 0.000), S at (0.000, 0.000, 0.500), Br at (0.500, 0.500, 0.500) and Cl at (0.000, 0.500, 0.000).

As for the final energy: -2.732 eV/atom. The calculation puts the formation energy from raw total energies at -57 meV/atom. The value obtained for the energy above the most stable polymorph in this dataset is 0.0 meV per atom.

=====

Entry 9:
Density functional theory data (PBE) for an optimized crystal structure of BiSBrCl2.

The structure belongs to space group P4/mmm (No. 123); the cell edges are 5.034, 5.034 and 5.454 Å and the angles 90.00°, 90.00° and 90.00°. The asymmetric unit holds Bi at (0.000, 0.000, 0.000), S at (0.500, 0.500, 0.000), Br at (0.500, 0.500, 0.500) and Cl at (0.000, 0.500, 0.500).

As for the final energy: -2.170 eV/atom. The calculation puts the formation energy from raw total energies at 505 meV/atom. The value obtained for the energy above the most stable polymorph in this dataset is 561.8 meV per atom.

=====

Entry 10:
Density functional theory data (PBE) for an optimized crystal structure of ScBiBrCl2.

The structure belongs to space group P4/mmm (No. 123); the cell edges are 4.812, 4.812 and 6.359 Å and the angles 90.00°, 90.00° and 90.00°. The asymmetric unit holds Sc at (0.000, 0.000, 0.000), Bi at (0.000, 0.000, 0.500), Br at (0.500, 0.500, 0.500) and Cl at (0.000, 0.500, 0.000).

As for the final energy: -4.205 eV/atom. The calculation puts the formation energy from raw total energies at -1089 meV/atom.

=====

Entry 11:
Density functional theory data (PBE) for an optimized crystal structure of Si2BiBrCl.

The structure belongs to space group P4/mmm (No. 123); the cell edges are 5.227, 5.227 and 4.956 Å and the angles 90.00°, 90.00° and 90.00°. The asymmetric unit holds Si at (0.000, 0.500, 0.000), Bi at (0.000, 0.000, 0.500), Br at (0.500, 0.500, 0.000) and Cl at (0.500, 0.500, 0.500).

As for the final energy: -2.717 eV/atom. The calculation puts the formation energy from raw total energies at 933 meV/atom.

=====

Entry 12:
Density functional theory data (PBE) for an optimized crystal structure of TlBiBrCl2.

The structure belongs to space group P4/mmm (No. 123); the cell edges are 5.603, 5.603 and 5.989 Å and the angles 90.00°, 90.00° and 90.00°. The asymmetric unit holds Tl at (0.000, 0.000, 0.000), Bi at (0.500, 0.500, 0.500), Br at (0.500, 0.500, 0.000) and Cl at (0.000, 0.500, 0.500).

As for the final energy: -3.003 eV/atom. The calculation puts the formation energy from raw total energies at -680 meV/atom.

=====

Entry 13:
Density functional theory data (PBE) for an optimized crystal structure of Zn2BiBrCl.

The structure belongs to space group P4/mmm (No. 123); the cell edges are 5.592, 5.592 and 5.534 Å and the angles 90.00°, 90.00° and 90.00°. The asymmetric unit holds Zn at (0.000, 0.500, 0.000), Bi at (0.000, 0.000, 0.000), Br at (0.000, 0.000, 0.500) and Cl at (0.500, 0.500, 0.500).

As for the final energy: -1.944 eV/atom. The calculation puts the formation energy from raw total energies at 46 meV/atom.